No. 1
Material: RbThSeO5
Method: DFT, PBE
State: relaxed

a b c (Å): 7.945 10.191 8.538
angles (deg): 90.00 116.97 90.00
Space group C2/c (No. 15)
Symmetry-distinct sites (fractional):
Rb1 0.000 0.172 0.250
Th1 0.000 0.500 0.000
Se1 0.000 0.194 0.750
O1 0.000 0.451 0.250
O2 0.084 0.279 0.601
O3 0.177 0.085 0.880

Properties
**Electronic total energy**: -0.240 hartree per atom
**Fermi-level density of states**: 5.205 states/eV per cell
**Total moment**: 1.00 μB per formula unit
**Formation energy without anion corrections**: -15.564 eV/f.u.

=====

No. 2
Material: BaLi2ErCl8
Method: DFT, PBE
State: relaxed

a b c (Å): 6.6129 6.6129 8.6907
angles (deg): 90.00 90.00 120.00
Space group P-3 (No. 147)
Symmetry-distinct sites (fractional):
Ba1 0.0000 0.0000 0.0000
Li1 0.3333 0.6667 0.7291
Er1 0.0000 0.0000 0.5000
Cl1 0.0066 0.6968 0.3100
Cl2 0.3333 0.6667 0.0000

Properties
**Electronic total energy**: -0.145 hartree per atom
**Fermi-level density of states**: 13.790 states/eV per cell
**Total moment**: 1.19 μB per formula unit
**Formation energy without anion corrections**: -22.251 eV/f.u.